A plane-wave DFT calculation with PBE was carried out for crystalline Y3HfRu at its relaxed geometry.

Properties
* E_tot: -7.4298 eV/atom

abc: 5.299 5.299 5.299
angles: 90.00 90.00 90.00
Space group Pm-3m (No. 221)
Symmetry-distinct sites (fractional):
1 Y 0.000 0.000 0.500 x3
2 Hf 0.500 0.500 0.500 x1
3 Ru 0.000 0.000 0.000 x1

A plane-wave DFT calculation with PBE was carried out for crystalline YHfZnRu at its relaxed geometry.

Properties
* E_tot: -7.0726 eV/atom

abc: 6.761 6.761 6.761
angles: 90.00 90.00 90.00
Space group F-43m (No. 216)
Symmetry-distinct sites (fractional):
1 Y 0.000 0.000 0.000 x4
2 Hf 0.000 0.000 0.500 x4
3 Zn 0.250 0.250 0.750 x4
4 Ru 0.250 0.250 0.250 x4

A plane-wave DFT calculation with PBE was carried out for crystalline HfZnRu at its relaxed geometry.

Properties
* E_tot: -7.1289 eV/atom

abc: 3.388 10.256 5.852
angles: 90.00 90.00 90.00
Space group Cmcm (No. 63)
Symmetry-distinct sites (fractional):
1 Hf 0.000 0.157 0.250 x4
2 Zn 0.000 0.127 0.750 x4
3 Ru 0.000 0.500 0.000 x4

A plane-wave DFT calculation with PBE was carried out for crystalline HfZn3Ru at its relaxed geometry.

Properties
* E_tot: -2.9572 eV/atom

abc: 5.043 5.043 5.043
angles: 90.00 90.00 90.00
Space group Pm-3m (No. 221)
Symmetry-distinct sites (fractional):
1 Hf 0.000 0.000 0.000 x1
2 Zn 0.000 0.000 0.500 x3
3 Ru 0.500 0.500 0.500 x1

A plane-wave DFT calculation with PBE was carried out for crystalline Hf6ZnRu at its relaxed geometry.

Properties
* E_tot: -8.9969 eV/atom

abc: 4.575 4.575 15.200
angles: 90.00 90.00 90.00
Space group I4/mmm (No. 139)
Symmetry-distinct sites (fractional):
1 Hf 0.000 0.000 0.250 x4
2 Hf 0.000 0.500 0.111 x8
3 Zn 0.000 0.000 0.000 x2
4 Ru 0.000 0.000 0.500 x2

A plane-wave DFT calculation with PBE was carried out for crystalline Hf6ZnRu at its relaxed geometry.

Properties
* E_tot: -8.9019 eV/atom

abc: 7.9895 7.9895 8.8080
angles: 90.00 90.00 120.00
Space group R-3 (No. 148, hexagonal axes)
Symmetry-distinct sites (fractional):
1 Hf 0.0187 0.2422 0.2230 x18
2 Zn 0.0000 0.0000 0.5000 x3
3 Ru 0.0000 0.0000 0.0000 x3

A plane-wave DFT calculation with PBE was carried out for crystalline Hf4Zn3Ru at its relaxed geometry.

Properties
* E_tot: -6.9520 eV/atom

abc: 3.284 3.284 13.202
angles: 90.00 90.00 90.00
Space group P4/mmm (No. 123)
Symmetry-distinct sites (fractional):
1 Hf 0.000 0.000 0.121 x2
2 Hf 0.000 0.000 0.374 x2
3 Zn 0.500 0.500 0.249 x2
4 Zn 0.500 0.500 0.500 x1
5 Ru 0.500 0.500 0.000 x1

A plane-wave DFT calculation with PBE was carried out for crystalline Hf2ZnRu at its relaxed geometry.

Properties
* E_tot: -8.0943 eV/atom

abc: 3.255 3.255 6.649
angles: 90.00 90.00 90.00
Space group P4/mmm (No. 123)
Symmetry-distinct sites (fractional):
1 Hf 0.000 0.000 0.242 x2
2 Zn 0.500 0.500 0.500 x1
3 Ru 0.500 0.500 0.000 x1

A plane-wave DFT calculation with PBE was carried out for crystalline Hf4ZnRu3 at its relaxed geometry.

Properties
* E_tot: -9.2572 eV/atom

abc: 3.238 4.624 9.269
angles: 90.00 90.00 90.00
Space group Pmmm (No. 47)
Symmetry-distinct sites (fractional):
1 Hf 0.000 0.000 0.000 x1
2 Hf 0.000 0.000 0.500 x1
3 Hf 0.000 0.500 0.245 x2
4 Zn 0.500 0.500 0.500 x1
5 Ru 0.500 0.000 0.250 x2
6 Ru 0.500 0.500 0.000 x1

A plane-wave DFT calculation with PBE was carried out for crystalline Hf6Zn3Ru at its relaxed geometry.

Properties
* E_tot: -7.2994 eV/atom

abc: 5.381 8.032 10.685
angles: 90.00 119.20 90.00
Space group P2_1/c (No. 14)
Symmetry-distinct sites (fractional):
1 Hf 0.036 0.180 0.447 x4
2 Hf 0.362 0.675 0.456 x4
3 Hf 0.397 0.090 0.241 x4
4 Zn 0.120 0.096 0.754 x4
5 Zn 0.500 0.000 0.500 x2
6 Ru 0.000 0.000 0.000 x2

A plane-wave DFT calculation with PBE was carried out for crystalline HfZn11Ru at its relaxed geometry.

Properties
* E_tot: -2.6394 eV/atom

abc: 5.160 12.604 6.530
angles: 90.00 111.32 90.00
Space group C2/m (No. 12)
Symmetry-distinct sites (fractional):
1 Hf 0.000 0.000 0.000 x2
2 Zn 0.000 0.500 0.500 x2
3 Zn 0.107 0.394 0.211 x8
4 Zn 0.158 0.172 0.351 x8
5 Zn 0.250 0.250 0.000 x4
6 Ru 0.000 0.000 0.500 x2

A plane-wave DFT calculation with PBE was carried out for crystalline HfZnRu2 at its relaxed geometry.

Properties
* E_tot: -7.8248 eV/atom

abc: 3.203 3.203 6.029
angles: 90.00 90.00 90.00
Space group P4/mmm (No. 123)
Symmetry-distinct sites (fractional):
1 Hf 0.000 0.000 0.000 x1
2 Zn 0.000 0.000 0.500 x1
3 Ru 0.500 0.500 0.267 x2

Asked for ΔH_f (0 K) across the records above, the calculation gives 0.2945, -0.3308, -0.2945, 1.6530, -0.2131, -0.1181, -0.3381, -0.4801, -0.6428, -0.0175, -0.0823, -0.3800 eV per atom in order.